1.
Entry from Alexandria via LeMat-Bulk: a geometry-optimized NdYBr6 structure (GGA-PBE).

Values from the calculation:
The uncorrected formation energy comes out at -14.73 eV per formula unit. The electronic total energy comes out at -4.500 eV/atom.

```
NdYBr6
1.0
7.4143 -0.2947 -1.1546
-4.1437 6.1554 -1.1546
0.1280 0.2294 7.0896
Nd Y Br
1 1 6
direct
0.5000 0.5000 0.5000
0.0000 0.0000 0.0000
0.6113 0.9047 0.7575
0.9047 0.6113 0.7575
0.0953 0.3887 0.2425
0.3887 0.0953 0.2425
0.2466 0.2466 0.7537
0.7534 0.7534 0.2463
```

***

2.
Entry from Alexandria via LeMat-Bulk: a geometry-optimized SiPdW structure (GGA-PBE).

Values from the calculation:
The uncorrected formation energy comes out at -0.21 eV per formula unit. The electronic total energy comes out at -7.926 eV/atom.

```
SiPdW
1.0
-2.3611 0.4507 3.2139
-3.5123 -1.9319 0.1964
1.2253 -5.9648 4.2424
Si Pd W
2 2 2
direct
0.2545 0.2545 0.2365
0.7455 0.7455 0.7635
0.3731 0.3731 0.8806
0.6269 0.6269 0.1194
0.8668 0.8668 0.3995
0.1332 0.1332 0.6005
```

***

3.
Entry from Alexandria via LeMat-Bulk: a geometry-optimized TbInRu structure (GGA-PBE).

Values from the calculation:
Its formation energy is -1.08 eV per formula unit. The electronic total energy comes out at -5.909 eV/atom.

```
TbInRu
1.0
-0.6883 0.7657 -3.9821
-4.2636 -5.9388 -0.4050
-10.4213 6.8206 3.1128
Tb In Ru
6 6 6
direct
0.7500 0.5393 0.3806
0.2500 0.9569 0.7137
0.7500 0.0431 0.2863
0.7500 0.6544 0.0840
0.2500 0.4607 0.6194
0.2500 0.3456 0.9160
0.2500 0.9949 0.0906
0.2500 0.8568 0.4591
0.7500 0.6233 0.7981
0.7500 0.1432 0.5409
0.2500 0.3767 0.2019
0.7500 0.0051 0.9094
0.2500 0.7512 0.9226
0.7500 0.2573 0.7461
0.7500 0.7496 0.5918
0.7500 0.2488 0.0774
0.2500 0.2504 0.4082
0.2500 0.7427 0.2539
```

***

4.
Entry from Alexandria via LeMat-Bulk: a geometry-optimized Al2OsSe structure (GGA-PBE).

Values from the calculation:
The uncorrected formation energy comes out at -0.22 eV per formula unit. The electronic total energy comes out at -5.604 eV/atom.

```
Al2OsSe
1.0
-2.2720 -5.6565 1.9742
2.7869 -5.2083 2.4825
-1.4309 6.2447 -0.1127
Os Al Se
1 2 1
direct
0.4968 0.4968 0.0000
0.0080 0.0080 0.0000
0.6801 0.1801 0.5000
0.3152 0.8152 0.5000
```

***

5.
Entry from Alexandria via LeMat-Bulk: a geometry-optimized SrMgCl2 structure (GGA-PBE).

Values from the calculation:
The uncorrected formation energy comes out at -5.43 eV per formula unit. The electronic total energy comes out at -3.099 eV/atom.

```
SrMgCl2
1.0
-1.7954 1.9242 5.7093
-5.4265 -3.0762 0.7826
6.1532 -1.0750 -0.7109
Cl Mg Sr
2 1 1
direct
0.0536 0.0536 0.0000
0.4464 0.4464 0.0000
0.7500 0.2500 0.5000
0.2500 0.7500 0.5000
```

***

6.
Entry from Alexandria via LeMat-Bulk: a geometry-optimized LiTa2Pd2 structure (GGA-PBE).

Values from the calculation:
Its formation energy is -0.32 eV per formula unit. The electronic total energy comes out at -7.266 eV/atom.

```
LiTa2Pd2
1.0
-6.5590 -3.4084 3.1397
1.8821 -6.9315 -3.5929
1.4667 -0.7615 2.2374
Li Pd Ta
2 4 4
direct
0.0000 0.0000 0.0000
0.5000 0.5000 0.0000
0.1749 0.6749 0.5000
0.6749 0.8251 0.5000
0.8251 0.3251 0.5000
0.3251 0.1749 0.5000
0.3799 0.8799 0.0000
0.8799 0.6201 0.0000
0.6201 0.1201 0.0000
0.1201 0.3799 0.0000
```

***

7.
Entry from Alexandria via LeMat-Bulk: a geometry-optimized InWBr2 structure (GGA-PBE).

Values from the calculation:
The uncorrected formation energy comes out at 1.66 eV per formula unit. The electronic total energy comes out at -4.345 eV/atom.

```
InWBr2
1.0
-1.1913 8.4295 6.4118
-2.7040 6.2059 8.2317
0.5225 6.5271 8.4089
Br W In
2 1 1
direct
0.9232 0.9232 0.9232
0.0768 0.0768 0.0768
0.0000 0.0000 0.0000
0.5000 0.5000 0.5000
```

***

8.
Entry from Alexandria via LeMat-Bulk: a geometry-optimized AcY3Er2 structure (GGA-PBE).

Values from the calculation:
Its formation energy is 0.61 eV per formula unit. The electronic total energy comes out at -5.335 eV/atom.

```
AcY3Er2
1.0
-3.4868 -5.7819 -0.3769
0.6970 -0.1836 6.7239
-6.9766 5.7620 -0.4321
Ac Y Er
2 6 4
direct
0.0716 0.9284 0.2500
0.9284 0.0716 0.7500
0.1785 0.3557 0.5097
0.6443 0.8215 0.9903
0.8215 0.6443 0.4903
0.3557 0.1785 0.0097
0.4121 0.5879 0.2500
0.5879 0.4121 0.7500
0.8698 0.3817 0.1254
0.6183 0.1302 0.3746
0.1302 0.6183 0.8746
0.3817 0.8698 0.6254
```

***

9.
Entry from Alexandria via LeMat-Bulk: a geometry-optimized K5Br4F structure (GGA-PBE).

Values from the calculation:
The uncorrected formation energy comes out at -18.89 eV per formula unit. The electronic total energy comes out at -3.294 eV/atom.

```
K5Br4F
1.0
4.6444 0.0000 0.0000
0.0000 4.6444 0.0000
-2.3222 -2.3222 16.0786
K Br F
5 4 1
direct
0.0861 0.0861 0.1722
0.5000 0.5000 0.0000
0.9139 0.9139 0.8278
0.3005 0.3005 0.6010
0.6995 0.6995 0.3990
0.4036 0.4036 0.8072
0.8039 0.8039 0.6079
0.1961 0.1961 0.3921
0.5964 0.5964 0.1928
0.0000 0.0000 0.0000
```